Entry 1:
Compound: TbNd3Al4
Source: Alexandria via LeMat-Bulk
Functional: GGA-PBE
Structure: optimized geometry

a = 3.700 Å, b = 3.700 Å, c = 14.812 Å
α = 90.00°, β = 90.00°, γ = 90.00°
Fractional positions:
Tb (0.000, 0.000, 0.000)
Nd (0.000, 0.000, 0.246)
Nd (0.000, 0.000, 0.500)
Nd (0.000, 0.000, 0.754)
Al (0.500, 0.500, 0.116)
Al (0.500, 0.500, 0.373)
Al (0.500, 0.500, 0.627)
Al (0.500, 0.500, 0.884)

Values from the calculation:
Crystal system = tetragonal
Density = 5.73 g cm⁻³
Space-group type = P4/mmm (123)
Energy of formation = -0.3637 eV per atom
Calculated volume = 202.8 Å³/cell

Entry 2:
Compound: PuNpCl2
Source: Alexandria via LeMat-Bulk
Functional: GGA-PBE
Structure: optimized geometry

a = 7.261 Å, b = 7.261 Å, c = 7.261 Å
α = 30.27°, β = 30.27°, γ = 30.27°
Fractional positions:
Pu (0.000, 0.000, 0.000)
Np (0.500, 0.500, 0.500)
Cl (0.250, 0.250, 0.250)
Cl (0.750, 0.750, 0.750)

Values from the calculation:
Crystal system = trigonal
Density = 10.63 g cm⁻³
Space-group type = R-3m (166)
Raw formation energy = -0.85 eV per atom
Calculated volume = 86.2 Å³/cell

Repeat the second record exactly.
Compound: PuNpCl2
Source: Alexandria via LeMat-Bulk
Functional: GGA-PBE
Structure: optimized geometry

a = 7.261 Å, b = 7.261 Å, c = 7.261 Å
α = 30.27°, β = 30.27°, γ = 30.27°
Fractional positions:
Pu (0.000, 0.000, 0.000)
Np (0.500, 0.500, 0.500)
Cl (0.250, 0.250, 0.250)
Cl (0.750, 0.750, 0.750)

Values from the calculation:
Crystal system = trigonal
Density = 10.63 g cm⁻³
Space-group type = R-3m (166)
Raw formation energy = -0.85 eV per atom
Calculated volume = 86.2 Å³/cell

Look up the density of the first one.
5.73 g cm⁻³